# 1
# Cd2CuW PBE optimized geometry
data_Cd2CuW
_space_group_name_H-M_alt 'P 1'
_space_group_IT_number 1
_space_group_name_Hall 'P 1'
_cell_length_a 4.652
_cell_length_b 4.652
_cell_length_c 4.652
_cell_angle_alpha 60.00
_cell_angle_beta 60.00
_cell_angle_gamma 60.00
loop_
_atom_site_label
_atom_site_type_symbol
_atom_site_fract_x
_atom_site_fract_y
_atom_site_fract_z
_atom_site_occupancy
Cd1 Cd 0.250 0.250 0.250 1
Cd2 Cd 0.750 0.750 0.750 1
W1 W 0.500 0.500 0.500 1
Cu1 Cu 0.000 0.000 0.000 1
# E_tot: -3.87 eV per atom
# symmetry: Fm-3m (225)

---

# 2
# Cd2CuW PBE optimized geometry
data_Cd2CuW
_space_group_name_H-M_alt 'P 1'
_space_group_IT_number 1
_space_group_name_Hall 'P 1'
_cell_length_a 9.701
_cell_length_b 9.701
_cell_length_c 9.701
_cell_angle_alpha 17.14
_cell_angle_beta 17.14
_cell_angle_gamma 17.14
loop_
_atom_site_label
_atom_site_type_symbol
_atom_site_fract_x
_atom_site_fract_y
_atom_site_fract_z
_atom_site_occupancy
Cd1 Cd 0.505 0.505 0.505 1
Cd2 Cd 0.995 0.995 0.995 1
Cu1 Cu 0.250 0.250 0.250 1
W1 W 0.750 0.750 0.750 1
# E_tot: -4.29 eV per atom
# symmetry: R-3m (166)

---

no.,energy of formation (eV/atom)
1,0.846
2,0.428